No. 1
Material: HoMg2In5
Method: DFT, PBE
State: relaxed

Properties
volume = 25.0 Å³/atom
ΔH_f (0 K) = -0.1784 eV per atom
Fermi-level density of states = 4.2 states/eV per cell
symmetry = No. 139
magnetization = 0.000 μB/atom

abc: 6.417 6.417 6.417
angles: 105.46 105.46 117.83
Element x y z (fractional)
Ho  0.000  0.000  0.000
Mg  0.000  0.500  0.500
Mg  0.500  0.000  0.500
In  0.000  0.000  0.500
In  0.000  0.500  0.000
In  0.500  0.000  0.000
In  0.500  0.500  0.000
In  0.500  0.500  0.500

***

No. 2
Material: Ho2MgIn2
Method: DFT, PBE
State: relaxed

Properties
volume = 26.9 Å³/atom
relative energy among the computed polymorphs = 0.0799 eV/atom
ΔH_f (0 K) = -0.2869 eV per atom
Fermi-level density of states = 5.7 states/eV per cell
symmetry = No. 71
magnetization = 0.000 μB/atom

abc: 6.071 6.071 6.071
angles: 136.44 115.55 81.02
Element x y z (fractional)
Ho  0.204  0.204  0.000
Ho  0.796  0.796  0.000
Mg  0.500  0.000  0.500
In  0.225  0.500  0.725
In  0.775  0.500  0.275

***

No. 3
Material: Ho5Mg4In
Method: DFT, PBE
State: relaxed

Properties
volume = 26.7 Å³/atom
ΔH_f (0 K) = -0.1611 eV per atom
Fermi-level density of states = 11.7 states/eV per cell
symmetry = No. 123
magnetization = 0.000 μB/atom

abc: 3.769 3.769 18.824
angles: 90.00 90.00 90.00
Element x y z (fractional)
Ho  0.000  0.000  0.000
Ho  0.000  0.000  0.201
Ho  0.000  0.000  0.400
Ho  0.000  0.000  0.600
Ho  0.000  0.000  0.799
Mg  0.500  0.500  0.101
Mg  0.500  0.500  0.300
Mg  0.500  0.500  0.700
Mg  0.500  0.500  0.899
In  0.500  0.500  0.500

***

No. 4
Material: Ho6Mg2In
Method: DFT, PBE
State: relaxed

Properties
volume = 29.1 Å³/atom
ΔH_f (0 K) = -0.0460 eV per atom
Fermi-level density of states = 21.5 states/eV per cell
symmetry = No. 71
magnetization = 0.000 μB/atom

abc: 8.804 8.804 8.804
angles: 111.40 110.33 106.72
Element x y z (fractional)
Ho  0.059  0.239  0.820
Ho  0.239  0.562  0.324
Ho  0.239  0.915  0.676
Ho  0.302  0.243  0.545
Ho  0.302  0.757  0.059
Ho  0.420  0.239  0.180
Ho  0.580  0.761  0.820
Ho  0.698  0.243  0.941
Ho  0.698  0.757  0.455
Ho  0.761  0.085  0.324
Ho  0.761  0.438  0.676
Ho  0.941  0.761  0.180
Mg  0.000  0.138  0.138
Mg  0.000  0.862  0.862
Mg  0.136  0.500  0.636
Mg  0.864  0.500  0.364
In  0.500  0.000  0.500
In  0.500  0.500  0.000

***

No. 5
Material: HoMg4In2
Method: DFT, PBE
State: relaxed

Properties
volume = 24.5 Å³/atom
ΔH_f (0 K) = -0.1199 eV per atom
Fermi-level density of states = 3.1 states/eV per cell
symmetry = No. 65
magnetization = 0.000 μB/atom

abc: 9.029 9.029 4.416
angles: 90.00 90.00 151.52
Element x y z (fractional)
Ho  0.000  0.000  0.000
Mg  0.184  0.816  0.500
Mg  0.314  0.686  0.000
Mg  0.686  0.314  0.000
Mg  0.816  0.184  0.500
In  0.422  0.578  0.500
In  0.578  0.422  0.500

***

No. 6
Material: Ho6MgIn
Method: DFT, PBE
State: relaxed

Properties
volume = 28.7 Å³/atom
relative energy among the computed polymorphs = 0.0000 eV/atom
ΔH_f (0 K) = -0.1166 eV per atom
Fermi-level density of states = 13.4 states/eV per cell
symmetry = No. 123
magnetization = 0.000 μB/atom

abc: 4.858 4.858 9.716
angles: 90.00 90.00 90.00
Element x y z (fractional)
Ho  0.000  0.000  0.000
Ho  0.000  0.000  0.500
Ho  0.000  0.500  0.248
Ho  0.000  0.500  0.752
Ho  0.500  0.000  0.248
Ho  0.500  0.000  0.752
Mg  0.500  0.500  0.500
In  0.500  0.500  0.000